VASP calculation (PBE) on a relaxed TaSnPb crystal.

Computed properties:
* volume: 28.56 A^3/atom

Cell lengths 4.9481, 4.9481, 4.9481 Å; angles 60.00, 60.00, 60.00 degrees
With the nearest neighbours (Å) after each atom.
Fractional positions:
Pb: 0.2500 0.2500 0.2500  4 Ta 3.03
Sn: 0.7500 0.7500 0.7500  4 Ta 3.03
Ta: 0.0000 0.0000 0.0000  4 Pb 3.03, 4 Sn 3.03


VASP calculation (PBE) on a relaxed Tb2SnPb crystal.

Computed properties:
* volume: 28.24 A^3/atom

Cell lengths 4.4275, 6.1937, 6.1937 Å; angles 41.69, 90.00, 90.00 degrees
With the nearest neighbours (Å) after each atom.
Fractional positions:
Sn: 0.5000 0.5964 0.5964  7 Tb 3.11-3.47, 2 Pb 3.14
Tb: 0.0000 0.1341 0.1341  3 Pb 3.13-3.46, 4 Sn 3.15
Tb: 0.5000 0.8653 0.8653  3 Sn 3.11-3.47, 4 Pb 3.16
Pb: 0.0000 0.4042 0.4042  7 Tb 3.13-3.46, 2 Sn 3.14


VASP calculation (PBE) on a relaxed Tb3Sn4Pb3 crystal.

Computed properties:
* volume: 27.07 A^3/atom

Cell lengths 13.5088, 13.5088, 4.5757 Å; angles 90.00, 90.00, 161.08 degrees
With the nearest neighbours (Å) after each atom.
Fractional positions:
Tb: 0.5000 0.5000 0.5000  8 Pb 3.19-3.45, 4 Sn 3.45
Pb: 0.0000 0.0000 0.0000  4 Tb 3.19, 4 Sn 3.41, 4 Pb 3.49
Sn: 0.2884 0.7116 0.5000  2 Sn 3.02, 4 Tb 3.23
Tb: 0.8088 0.1912 0.0000  8 Sn 3.23-3.46, 2 Pb 3.36
Sn: 0.4029 0.5971 0.0000  6 Pb 3.19-3.41, 4 Tb 3.35-3.45
Sn: 0.5971 0.4029 0.0000  6 Pb 3.19-3.41, 4 Tb 3.35-3.45
Pb: 0.9010 0.0990 0.5000  4 Sn 3.19, 4 Tb 3.36-3.45, 2 Pb 3.49
Tb: 0.1912 0.8088 0.0000  8 Sn 3.23-3.46, 2 Pb 3.36
Pb: 0.0990 0.9010 0.5000  4 Sn 3.19, 4 Tb 3.36-3.45, 2 Pb 3.49
Sn: 0.7116 0.2884 0.5000  2 Sn 3.02, 4 Tb 3.23


Number 1: electronic total energy -5.75 eV/atom. Number 2: electronic total energy -4.85 eV/atom. Number 3: electronic total energy -4.56 eV/atom.